(1)
Entry from Alexandria: crystalline LiCoP2O7 at its relaxed geometry (PBE+U).

Properties
- Energy above the most stable polymorph in this dataset: 0.015 eV per atom

Cell and atoms, written as POSCAR:
```
LiCoP2O7
1.0
-5.025 2.988 -2.765
0.860 -2.021 -5.827
-3.461 -5.802 -1.316
O P Co Li
14 4 2 2
direct
0.030 0.941 0.242
0.053 0.394 0.856
0.792 0.653 0.473
0.208 0.347 0.527
0.332 0.051 0.882
0.604 0.400 0.788
0.595 0.227 0.469
0.682 0.786 0.771
0.318 0.214 0.229
0.405 0.773 0.531
0.947 0.606 0.144
0.396 0.600 0.212
0.668 0.949 0.118
0.970 0.059 0.758
0.133 0.211 0.767
0.609 0.659 0.642
0.867 0.789 0.233
0.391 0.341 0.358
0.359 0.904 0.214
0.641 0.096 0.786
0.999 0.711 0.836
0.001 0.289 0.164
```

(2)
Entry from Alexandria: crystalline Li2CoP2O7 at its relaxed geometry (PBE+U).

Properties
- Energy above the most stable polymorph in this dataset: 0.000 eV per atom
- DOS at the Fermi energy: 0.00 states/eV per cell

Cell and atoms, written as POSCAR:
```
Li2CoP2O7
1.0
9.247 0.885 0.546
7.439 5.563 0.546
4.753 1.837 7.288
O P Li Co
14 4 4 2
direct
0.517 0.483 0.250
0.120 0.670 0.548
0.248 0.952 0.240
0.048 0.752 0.260
0.330 0.880 0.952
0.483 0.517 0.750
0.952 0.248 0.740
0.752 0.048 0.760
0.880 0.330 0.452
0.391 0.252 0.464
0.252 0.391 0.964
0.609 0.748 0.536
0.670 0.120 0.048
0.748 0.609 0.036
0.462 0.743 0.111
0.538 0.257 0.889
0.743 0.462 0.611
0.257 0.538 0.389
0.957 0.664 0.826
0.336 0.043 0.674
0.043 0.336 0.174
0.664 0.957 0.326
0.000 0.000 0.500
0.000 0.000 0.000
```

(3)
Entry from Alexandria: crystalline LiCo2P2O9 at its relaxed geometry (PBE+U).

Properties
- Raw total energy: -360.89 eV per cell
- DOS at the Fermi energy: 12.97 states/eV per cell

Cell and atoms, written as POSCAR:
```
LiCo2P2O9
1.0
6.050 0.000 0.000
0.000 7.367 0.000
0.000 0.000 13.648
O Li Co P
36 4 8 8
direct
0.444 0.145 0.364
0.750 0.485 0.994
0.250 0.042 0.718
0.750 0.668 0.506
0.944 0.645 0.136
0.750 0.958 0.282
0.056 0.145 0.364
0.250 0.722 0.746
0.250 0.332 0.494
0.250 0.778 0.246
0.750 0.832 0.006
0.556 0.855 0.636
0.750 0.542 0.782
0.750 0.278 0.254
0.464 0.923 0.867
0.250 0.458 0.218
0.944 0.855 0.636
0.964 0.077 0.133
0.750 0.139 0.960
0.750 0.222 0.754
0.750 0.361 0.460
0.444 0.355 0.864
0.556 0.645 0.136
0.250 0.515 0.006
0.250 0.168 0.994
0.964 0.423 0.633
0.036 0.577 0.367
0.536 0.077 0.133
0.036 0.923 0.867
0.750 0.015 0.494
0.056 0.355 0.864
0.250 0.639 0.540
0.250 0.861 0.040
0.250 0.985 0.506
0.464 0.577 0.367
0.536 0.423 0.633
0.750 0.942 0.775
0.750 0.558 0.275
0.250 0.442 0.725
0.250 0.058 0.225
0.000 0.500 0.500
0.750 0.349 0.877
0.250 0.651 0.123
0.750 0.151 0.377
0.000 0.000 0.000
0.500 0.500 0.500
0.250 0.849 0.623
0.500 0.000 0.000
0.750 0.856 0.564
0.750 0.644 0.064
0.250 0.356 0.936
0.250 0.595 0.305
0.250 0.905 0.805
0.750 0.405 0.695
0.250 0.144 0.436
0.750 0.095 0.195
```

(4)
Entry from Alexandria: crystalline Li2CoP2O7 at its relaxed geometry (PBE+U).

Properties
- Energy above the most stable polymorph in this dataset: 0.039 eV per atom
- DOS at the Fermi energy: 0.00 states/eV per cell

Cell and atoms, written as POSCAR:
```
Li2CoP2O7
1.0
-0.665 6.875 -0.933
-3.299 0.500 6.034
7.695 -2.721 0.493
Co Li O P
2 4 14 4
direct
0.000 0.000 0.500
0.000 0.500 0.500
0.231 0.731 0.962
0.769 0.269 0.038
0.231 0.231 0.962
0.769 0.769 0.038
0.293 0.677 0.724
0.069 0.823 0.276
0.707 0.323 0.276
0.931 0.547 0.724
0.583 0.250 0.500
0.417 0.750 0.500
0.347 0.058 0.116
0.269 0.558 0.116
0.707 0.953 0.276
0.653 0.942 0.884
0.931 0.177 0.724
0.069 0.453 0.276
0.731 0.442 0.884
0.293 0.047 0.724
0.582 0.140 0.280
0.199 0.640 0.280
0.418 0.860 0.720
0.801 0.360 0.720
```

(5)
Entry from Alexandria: crystalline LiCo2P3O12 at its relaxed geometry (PBE+U).

Properties
- Raw total energy: -233.55 eV per cell
- DOS at the Fermi energy: 9.60 states/eV per cell

Cell and atoms, written as POSCAR:
```
LiCo2P3O12
1.0
-1.960 -6.097 -5.388
5.747 -2.874 -5.363
3.203 -7.669 0.987
Co Li O P
4 2 24 6
direct
0.861 0.861 0.861
0.361 0.361 0.361
0.139 0.139 0.139
0.639 0.639 0.639
0.000 0.000 0.000
0.500 0.500 0.500
0.873 0.698 0.489
0.558 0.761 0.418
0.918 0.261 0.058
0.127 0.302 0.511
0.489 0.873 0.698
0.442 0.239 0.582
0.942 0.082 0.739
0.239 0.582 0.442
0.082 0.739 0.942
0.802 0.627 0.011
0.627 0.011 0.802
0.511 0.127 0.302
0.582 0.442 0.239
0.761 0.418 0.558
0.373 0.989 0.198
0.058 0.918 0.261
0.011 0.802 0.627
0.989 0.198 0.373
0.198 0.373 0.989
0.261 0.058 0.918
0.739 0.942 0.082
0.302 0.511 0.127
0.418 0.558 0.761
0.698 0.489 0.873
0.036 0.750 0.464
0.964 0.250 0.536
0.250 0.536 0.964
0.536 0.964 0.250
0.464 0.036 0.750
0.750 0.464 0.036
```

(6)
Entry from Alexandria: crystalline LiCo3SbP6O24 at its relaxed geometry (PBE+U).

Properties
- Energy above the most stable polymorph in this dataset: 0.000 eV per atom
- DOS at the Fermi energy: 10.60 states/eV per cell

Cell and atoms, written as POSCAR:
```
LiCo3SbP6O24
1.0
8.780 0.140 0.098
4.702 7.416 0.098
4.702 2.636 6.933
P O Co Sb Li
6 24 3 1 1
direct
0.250 0.539 0.972
0.972 0.250 0.539
0.042 0.741 0.464
0.741 0.464 0.042
0.539 0.972 0.250
0.464 0.042 0.741
0.516 0.174 0.220
0.188 0.530 0.489
0.201 0.385 0.986
0.530 0.489 0.188
0.102 0.742 0.906
0.019 0.797 0.615
0.797 0.615 0.019
0.174 0.220 0.516
0.742 0.906 0.102
0.252 0.117 0.886
0.385 0.986 0.201
0.822 0.458 0.519
0.519 0.822 0.458
0.458 0.519 0.822
0.986 0.201 0.385
0.846 0.765 0.482
0.886 0.252 0.117
0.482 0.846 0.765
0.765 0.482 0.846
0.906 0.102 0.742
0.117 0.886 0.252
0.615 0.019 0.797
0.489 0.188 0.530
0.220 0.516 0.174
0.646 0.646 0.646
0.352 0.352 0.352
0.854 0.854 0.854
0.143 0.143 0.143
0.980 0.980 0.980
```

(7)
Entry from Alexandria: crystalline LiCo3SbP6O24 at its relaxed geometry (PBE+U).

Properties
- Energy above the most stable polymorph in this dataset: 0.008 eV per atom
- DOS at the Fermi energy: 5.93 states/eV per cell

Cell and atoms, written as POSCAR:
```
LiCo3SbP6O24
1.0
-1.204 7.031 -4.936
-4.103 -0.238 -7.570
-7.745 3.578 -1.250
O P Li Co Sb
24 6 1 3 1
direct
0.320 0.499 0.111
0.669 0.022 0.706
0.608 0.750 0.395
0.970 0.289 0.329
0.386 0.250 0.602
0.992 0.048 0.678
0.754 0.398 0.609
0.014 0.956 0.312
0.047 0.687 0.988
0.122 0.312 0.503
0.949 0.311 0.004
0.719 0.660 0.027
0.267 0.335 0.973
0.512 0.113 0.318
0.679 0.995 0.043
0.330 0.982 0.282
0.598 0.390 0.249
0.397 0.603 0.745
0.486 0.881 0.684
0.327 0.001 0.954
0.677 0.497 0.882
0.248 0.602 0.383
0.879 0.689 0.491
0.031 0.714 0.660
0.741 0.462 0.037
0.966 0.263 0.522
0.036 0.743 0.460
0.259 0.526 0.960
0.526 0.965 0.259
0.464 0.037 0.740
0.465 0.503 0.507
0.140 0.145 0.144
0.358 0.355 0.354
0.639 0.643 0.639
0.855 0.854 0.851
```

(8)
Entry from Alexandria: crystalline Li2CoSnP2O8 at its relaxed geometry (PBE+U).

Properties
- Energy above the most stable polymorph in this dataset: 0.017 eV per atom
- DOS at the Fermi energy: 0.00 states/eV per cell

Cell and atoms, written as POSCAR:
```
Li2CoSnP2O8
1.0
4.851 -0.010 0.024
0.118 6.328 -0.006
0.194 -0.007 11.212
O Sn Li Co P
16 2 4 2 4
direct
0.816 0.051 0.177
0.774 0.447 0.641
0.220 0.950 0.364
0.232 0.248 0.586
0.226 0.553 0.359
0.752 0.260 0.990
0.347 0.244 0.143
0.653 0.756 0.857
0.797 0.441 0.188
0.203 0.559 0.812
0.768 0.752 0.414
0.780 0.050 0.636
0.184 0.949 0.823
0.810 0.256 0.446
0.248 0.740 0.010
0.190 0.744 0.554
0.472 0.247 0.776
0.528 0.753 0.224
0.500 0.500 0.500
0.000 0.500 0.000
0.500 0.000 0.500
0.000 0.000 0.000
0.072 0.252 0.294
0.928 0.748 0.706
0.661 0.249 0.123
0.915 0.250 0.575
0.339 0.751 0.877
0.085 0.750 0.425
```

(9)
Entry from Alexandria: crystalline Li2CoSnP2O8 at its relaxed geometry (PBE+U).

Properties
- Energy above the most stable polymorph in this dataset: 0.006 eV per atom
- DOS at the Fermi energy: 0.00 states/eV per cell

Cell and atoms, written as POSCAR:
```
Li2CoSnP2O8
1.0
5.831 0.000 0.000
0.000 10.339 -0.636
0.000 -2.875 12.178
Co P O Li Sn
4 8 32 8 4
direct
0.733 0.017 0.173
0.733 0.517 0.173
0.233 0.483 0.827
0.233 0.983 0.827
0.231 0.957 0.081
0.767 0.703 0.397
0.767 0.203 0.397
0.231 0.457 0.081
0.731 0.043 0.919
0.731 0.543 0.919
0.267 0.797 0.603
0.267 0.297 0.603
0.257 0.643 0.569
0.235 0.896 0.952
0.726 0.887 0.883
0.453 0.901 0.121
0.235 0.396 0.952
0.061 0.362 0.688
0.759 0.641 0.495
0.953 0.599 0.879
0.757 0.357 0.431
0.757 0.857 0.431
0.735 0.104 0.048
0.257 0.143 0.569
0.061 0.862 0.688
0.226 0.613 0.117
0.979 0.645 0.319
0.561 0.638 0.312
0.259 0.859 0.505
0.735 0.604 0.048
0.561 0.138 0.312
0.953 0.099 0.879
0.516 0.601 0.873
0.979 0.145 0.319
0.516 0.101 0.873
0.759 0.141 0.495
0.726 0.387 0.883
0.226 0.113 0.117
0.016 0.399 0.127
0.479 0.855 0.681
0.479 0.355 0.681
0.259 0.359 0.505
0.453 0.401 0.121
0.016 0.899 0.127
0.016 0.707 0.042
0.009 0.500 0.500
0.509 0.500 0.500
0.009 0.000 0.500
0.016 0.207 0.042
0.509 0.000 0.500
0.516 0.293 0.958
0.516 0.793 0.958
0.266 0.768 0.289
0.266 0.268 0.289
0.766 0.732 0.711
0.766 0.232 0.711
```

(10)
Entry from Alexandria: crystalline Li4CoSn3P4O16 at its relaxed geometry (PBE+U).

Properties
- Raw total energy: -181.39 eV per cell
- DOS at the Fermi energy: 0.00 states/eV per cell

Cell and atoms, written as POSCAR:
```
Li4CoSn3P4O16
1.0
6.904 0.000 0.000
0.000 4.847 0.010
0.000 0.253 10.831
Sn O Li P Co
3 16 4 4 1
direct
0.500 0.548 0.216
0.500 0.934 0.704
0.000 0.460 0.782
0.682 0.235 0.349
0.000 0.311 0.125
0.000 0.239 0.558
0.000 0.803 0.428
0.500 0.796 0.428
0.822 0.792 0.631
0.500 0.244 0.550
0.178 0.792 0.631
0.681 0.256 0.851
0.500 0.675 0.943
0.178 0.771 0.165
0.319 0.256 0.851
0.500 0.205 0.053
0.822 0.771 0.165
0.000 0.714 0.964
0.318 0.235 0.349
0.280 0.941 0.002
0.237 0.508 0.487
0.763 0.508 0.487
0.720 0.941 0.002
0.000 0.625 0.105
0.500 0.361 0.925
0.500 0.112 0.418
0.000 0.922 0.561
0.000 0.042 0.271
```

- Number 8 is which compound?
  Li2CoSnP2O8